(1)
This record from Alexandria via LeMat-Bulk describes Tb3PrIn4 after structural relaxation. The functional is PBE-GGA.

CIF file:
```
data_Tb3PrIn4
_chemical_formula_sum 'Tb3 Pr1 In4'
_space_group_name_H-M_alt 'P 1'
_space_group_IT_number 1
_cell_length_a 5.381
_cell_length_b 5.381
_cell_length_c 7.609
_cell_angle_alpha 90.00
_cell_angle_beta 90.00
_cell_angle_gamma 90.00
loop_
_space_group_symop_operation_xyz
'x,y,z'
loop_
_atom_site_label
_atom_site_type_symbol
_atom_site_fract_x
_atom_site_fract_y
_atom_site_fract_z
Tb1 Tb 0.000 0.000 0.000
Tb2 Tb 0.000 0.000 0.500
Tb3 Tb 0.500 0.500 0.000
Pr1 Pr 0.500 0.500 0.500
In1 In 0.000 0.500 0.243
In2 In 0.000 0.500 0.757
In3 In 0.500 0.000 0.243
In4 In 0.500 0.000 0.757
```

- size of the total moment (μB/atom) = 0.00
- volume (Å³/cell) = 220.29
- ΔE to the lowest computed polymorph (eV per atom) = 0.000


(2)
This record from Alexandria via LeMat-Bulk describes Tb3Pr3In5 after structural relaxation. The functional is PBE-GGA.

CIF file:
```
data_Tb3Pr3In5
_chemical_formula_sum 'Tb3 Pr3 In5'
_space_group_name_H-M_alt 'P 1'
_space_group_IT_number 1
_cell_length_a 8.899
_cell_length_b 8.899
_cell_length_c 6.071
_cell_angle_alpha 90.00
_cell_angle_beta 90.00
_cell_angle_gamma 120.00
loop_
_space_group_symop_operation_xyz
'x,y,z'
loop_
_atom_site_label
_atom_site_type_symbol
_atom_site_fract_x
_atom_site_fract_y
_atom_site_fract_z
Tb1 Tb 0.000 0.765 0.000
Tb2 Tb 0.235 0.235 0.000
Tb3 Tb 0.765 0.000 0.000
Pr1 Pr 0.000 0.732 0.500
Pr2 Pr 0.268 0.268 0.500
Pr3 Pr 0.732 0.000 0.500
In1 In 0.000 0.392 0.000
In2 In 0.333 0.667 0.000
In3 In 0.392 0.000 0.000
In4 In 0.608 0.608 0.000
In5 In 0.667 0.333 0.000
```

- VASP energy (eV/cell) = -38.6
- size of the total moment (μB/atom) = 0.00
- volume (Å³/cell) = 416.42


(3)
This record from Alexandria via LeMat-Bulk describes Tb3PrIn after structural relaxation. The functional is PBE-GGA.

CIF file:
```
data_Tb3PrIn
_chemical_formula_sum 'Tb12 Pr4 In4'
_space_group_name_H-M_alt 'P 1'
_space_group_IT_number 1
_cell_length_a 10.522
_cell_length_b 5.437
_cell_length_c 11.127
_cell_angle_alpha 90.00
_cell_angle_beta 90.00
_cell_angle_gamma 90.00
loop_
_space_group_symop_operation_xyz
'x,y,z'
loop_
_atom_site_label
_atom_site_type_symbol
_atom_site_fract_x
_atom_site_fract_y
_atom_site_fract_z
Tb1 Tb 0.091 0.250 0.110
Tb2 Tb 0.098 0.750 0.673
Tb3 Tb 0.136 0.750 0.351
Tb4 Tb 0.364 0.250 0.851
Tb5 Tb 0.402 0.250 0.173
Tb6 Tb 0.409 0.750 0.610
Tb7 Tb 0.591 0.250 0.390
Tb8 Tb 0.598 0.750 0.827
Tb9 Tb 0.636 0.750 0.149
Tb10 Tb 0.864 0.250 0.649
Tb11 Tb 0.902 0.250 0.327
Tb12 Tb 0.909 0.750 0.890
Pr1 Pr 0.223 0.250 0.516
Pr2 Pr 0.277 0.750 0.016
Pr3 Pr 0.723 0.250 0.984
Pr4 Pr 0.777 0.750 0.484
In1 In 0.073 0.250 0.835
In2 In 0.427 0.750 0.335
In3 In 0.573 0.250 0.665
In4 In 0.927 0.750 0.165
```

- size of the total moment (μB/atom) = 0.00
- volume (Å³/cell) = 636.62
- ΔE to the lowest computed polymorph (eV per atom) = 0.083


(4)
This record from Alexandria via LeMat-Bulk describes Tb5Pr12In2 after structural relaxation. The functional is PBE-GGA.

CIF file:
```
data_Tb5Pr12In2
_chemical_formula_sum 'Tb5 Pr12 In2'
_space_group_name_H-M_alt 'P 1'
_space_group_IT_number 1
_cell_length_a 9.153
_cell_length_b 9.153
_cell_length_c 8.736
_cell_angle_alpha 93.09
_cell_angle_beta 93.09
_cell_angle_gamma 62.07
loop_
_space_group_symop_operation_xyz
'x,y,z'
loop_
_atom_site_label
_atom_site_type_symbol
_atom_site_fract_x
_atom_site_fract_y
_atom_site_fract_z
Tb1 Tb 0.000 0.000 0.000
Tb2 Tb 0.231 0.231 0.082
Tb3 Tb 0.312 0.312 0.487
Tb4 Tb 0.688 0.688 0.513
Tb5 Tb 0.769 0.769 0.918
Pr1 Pr 0.037 0.666 0.266
Pr2 Pr 0.081 0.081 0.385
Pr3 Pr 0.180 0.570 0.834
Pr4 Pr 0.334 0.963 0.734
Pr5 Pr 0.430 0.820 0.166
Pr6 Pr 0.442 0.442 0.176
Pr7 Pr 0.558 0.558 0.824
Pr8 Pr 0.570 0.180 0.834
Pr9 Pr 0.666 0.037 0.266
Pr10 Pr 0.820 0.430 0.166
Pr11 Pr 0.919 0.919 0.615
Pr12 Pr 0.963 0.334 0.734
In1 In 0.326 0.674 0.500
In2 In 0.674 0.326 0.500
```

- VASP energy (eV/cell) = -86.3
- size of the total moment (μB/atom) = 0.00
- volume (Å³/cell) = 645.34